! MgV2O4 (PBE+U, relaxed); values from VASP
! - space group = Pbcm, No. 57
! - E (eV per atom) = -7.383
! - V (A^3/atom) = 10.25
! - total magnetization (μB/f.u.) = 4.0
! - offset from the most stable computed form (meV per atom) = 61
&SYSTEM
  ibrav = 0, nat = 28, ntyp = 3
/
ATOMIC_SPECIES
Mg 24.30 Mg.upf
V 50.94 V.upf
O 16.00 O.upf
CELL_PARAMETERS angstrom
2.963 0.000 0.000
0.000 9.789 0.000
0.000 0.000 9.891
ATOMIC_POSITIONS angstrom
Mg 2.139 8.455 2.473
Mg 2.139 6.229 7.418
Mg 0.823 3.560 2.473
Mg 0.823 1.334 7.418
V 0.706 6.050 4.221
V 0.706 8.634 9.167
V 2.257 3.739 9.167
V 0.706 8.634 5.669
V 2.257 3.739 5.669
V 0.706 6.050 0.724
V 2.257 1.155 0.724
V 2.257 1.155 4.221
O 2.245 4.677 1.134
O 0.718 5.112 8.756
O 2.114 7.342 0.000
O 0.718 9.572 1.134
O 0.718 9.572 3.811
O 0.648 7.687 7.418
O 2.245 0.217 8.756
O 2.315 2.792 7.418
O 2.114 7.342 4.945
O 0.849 2.447 0.000
O 2.245 4.677 3.811
O 2.315 2.102 2.473
O 0.648 6.997 2.473
O 0.849 2.447 4.945
O 2.245 0.217 6.080
O 0.718 5.112 6.080